Record 1
The following is a GGA-PBEsol calculation of LaSc2Al2 after structural relaxation, from Alexandria.

Output
For the calculated density, the calculation gives 3807 kg/m3. Its energy above the most stable polymorph in this dataset is 69 meV per atom. As for the density of states at the Fermi level: 8.3 states/eV per cell. The magnetization is 0.00 μB/f.u. As for the formation energy: -1.25 eV/f.u.

Unit cell a=4.4160 b=4.4160 c=12.6487 alpha=90.00 beta=90.00 gamma=90.00
Space group I4/mmm (No. 139)
Symmetry-distinct sites (fractional):
La (0.0000, 0.0000, 0.0000)
Sc (0.0000, 0.5000, 0.2500)
Al (0.0000, 0.0000, 0.3987)



Record 2
The following is a GGA-PBEsol calculation of LaScAl2 after structural relaxation, from Alexandria.

Output
For the calculated density, the calculation gives 4402 kg/m3. Its energy above the most stable polymorph in this dataset is 0 meV per atom. As for the density of states at the Fermi level: 2.0 states/eV per cell. The magnetization is 0.00 μB/f.u. As for the formation energy: -1.59 eV/f.u.

Unit cell a=3.5338 b=3.5338 c=7.1849 alpha=90.00 beta=90.00 gamma=90.00
Space group P4/mmm (No. 123)
Symmetry-distinct sites (fractional):
La (0.0000, 0.0000, 0.0000)
Sc (0.0000, 0.0000, 0.5000)
Al (0.5000, 0.5000, 0.2914)



Record 3
The following is a GGA-PBEsol calculation of La3ScAl8 after structural relaxation, from Alexandria.

Output
For the calculated density, the calculation gives 4351 kg/m3. As for the density of states at the Fermi level: 26.5 states/eV per cell. The magnetization is 0.00 μB/f.u. As for the formation energy: -5.61 eV/f.u.

Unit cell a=5.6550 b=5.6550 c=28.0077 alpha=90.00 beta=90.00 gamma=120.00
Space group R3m (No. 160, hexagonal axes)
Symmetry-distinct sites (fractional):
La (0.0000, 0.0000, 0.0000)
La (0.0000, 0.0000, 0.1260)
La (0.0000, 0.0000, 0.6247)
Sc (0.0000, 0.0000, 0.5003)
Al (0.0000, 0.0000, 0.3124)
Al (0.0000, 0.0000, 0.8134)
Al (0.0022, 0.5011, 0.0651)
Al (0.1671, 0.3342, 0.8943)



Record 4
The following is a GGA-PBEsol calculation of La4ScAl after structural relaxation, from Alexandria.

Output
For the calculated density, the calculation gives 5701 kg/m3. As for the density of states at the Fermi level: 40.2 states/eV per cell. The magnetization is 0.00 μB/f.u. As for the formation energy: 2.03 eV/f.u.

Unit cell a=9.0088 b=9.0088 c=9.0088 alpha=90.00 beta=90.00 gamma=90.00
Space group F-43m (No. 216)
Symmetry-distinct sites (fractional):
La (0.1237, 0.1237, 0.3763)
Sc (0.0000, 0.0000, 0.0000)
Al (0.2500, 0.2500, 0.7500)



Record 5
The following is a GGA-PBEsol calculation of LaScAl2 after structural relaxation, from Alexandria.

Output
For the calculated density, the calculation gives 4404 kg/m3. Its energy above the most stable polymorph in this dataset is 228 meV per atom. As for the density of states at the Fermi level: 6.5 states/eV per cell. The magnetization is 0.00 μB/f.u. As for the formation energy: -0.67 eV/f.u.

Unit cell a=4.4208 b=4.4208 c=9.1765 alpha=90.00 beta=90.00 gamma=90.00
Space group I-4m2 (No. 119)
Symmetry-distinct sites (fractional):
La (0.0000, 0.0000, 0.0000)
Sc (0.0000, 0.5000, 0.2500)
Al (0.0000, 0.0000, 0.5000)
Al (0.0000, 0.5000, 0.7500)



Record 6
The following is a GGA-PBEsol calculation of La2ScAl2 after structural relaxation, from Alexandria.

Output
For the calculated density, the calculation gives 4590 kg/m3. As for the density of states at the Fermi level: 13.1 states/eV per cell. The magnetization is 0.00 μB/f.u. As for the formation energy: -1.18 eV/f.u.

Unit cell a=7.6438 b=7.6438 c=4.6655 alpha=90.00 beta=90.00 gamma=90.00
Space group P4/mbm (No. 127)
Symmetry-distinct sites (fractional):
La (0.1744, 0.3256, 0.0000)
Sc (0.0000, 0.0000, 0.5000)
Al (0.1235, 0.6235, 0.5000)



Record 7
The following is a GGA-PBEsol calculation of LaSc2Al2 after structural relaxation, from Alexandria.

Output
For the calculated density, the calculation gives 4223 kg/m3. Its energy above the most stable polymorph in this dataset is 0 meV per atom. As for the density of states at the Fermi level: 7.9 states/eV per cell. The magnetization is 0.00 μB/f.u. As for the formation energy: -1.60 eV/f.u.

Unit cell a=8.5037 b=8.5037 c=3.0755 alpha=90.00 beta=90.00 gamma=90.00
Space group P4/mbm (No. 127)
Symmetry-distinct sites (fractional):
La (0.0000, 0.0000, 0.0000)
Sc (0.1245, 0.3755, 0.0000)
Al (0.1718, 0.6718, 0.5000)



Record 8
The following is a GGA-PBEsol calculation of LaAlSe after structural relaxation, from Alexandria.

Output
For the calculated density, the calculation gives 5514 kg/m3. Its energy above the most stable polymorph in this dataset is 0 meV per atom. The calculation puts the formation energy (no corrections) at -0.65 eV per atom. As for the density of states at the Fermi level: 2.9 states/eV per cell. The magnetization is 0.00 μB/f.u.

Unit cell a=3.6216 b=3.6216 c=6.4919 alpha=90.00 beta=90.00 gamma=120.00
Space group P3m1 (No. 156)
Symmetry-distinct sites (fractional):
La (0.0000, 0.0000, 0.0000)
Al (0.3333, 0.6667, 0.4071)
Se (0.6667, 0.3333, 0.6463)



Record 9
The following is a GGA-PBEsol calculation of La9Al5Se21 after structural relaxation, from Alexandria.

Output
For the calculated density, the calculation gives 5673 kg/m3. The calculation puts the formation energy (no corrections) at -1.63 eV per atom. As for the density of states at the Fermi level: 0.0 states/eV per cell. The magnetization is 0.00 μB/f.u.

Unit cell a=18.0499 b=18.0499 c=18.9412 alpha=90.00 beta=90.00 gamma=120.00
Space group R3 (No. 146, hexagonal axes)
Symmetry-distinct sites (fractional):
La (0.0185, 0.8244, 0.0000)
La (0.0252, 0.8226, 0.3233)
La (0.0297, 0.8290, 0.6601)
La (0.1557, 0.4654, 0.4875)
La (0.1594, 0.4675, 0.8317)
La (0.1609, 0.4682, 0.1643)
Al (0.0000, 0.0000, 0.2237)
Al (0.0000, 0.0000, 0.4087)
Al (0.0000, 0.0000, 0.7209)
Al (0.0000, 0.0000, 0.9055)
Al (0.0033, 0.3300, 0.0230)
Al (0.0041, 0.6680, 0.5229)
Se (0.9997, 0.3333, 0.2320)
Se (0.0005, 0.6693, 0.7319)
Se (0.0091, 0.4614, 0.4019)
Se (0.0135, 0.8933, 0.8079)
Se (0.0149, 0.8872, 0.4715)
Se (0.0164, 0.8859, 0.1567)
Se (0.0193, 0.4680, 0.7401)
Se (0.0231, 0.4621, 0.0687)
Se (0.1205, 0.0146, 0.3116)
Se (0.1254, 0.0107, 0.9690)
Se (0.1267, 0.7842, 0.9057)
Se (0.1300, 0.7738, 0.2368)
Se (0.1322, 0.0187, 0.6541)
Se (0.1340, 0.7823, 0.5684)



Record 10
The following is a GGA-PBEsol calculation of LaAlSe2 after structural relaxation, from Alexandria.

Output
For the calculated density, the calculation gives 5717 kg/m3. Its energy above the most stable polymorph in this dataset is 262 meV per atom. The calculation puts the formation energy (no corrections) at -1.13 eV per atom. As for the density of states at the Fermi level: 1.0 states/eV per cell. The magnetization is 0.00 μB/f.u.

Unit cell a=3.6883 b=3.7532 c=6.7944 alpha=90.00 beta=90.00 gamma=90.00
Space group Pmmm (No. 47)
Symmetry-distinct sites (fractional):
La (0.0000, 0.0000, 0.0000)
Al (0.0000, 0.5000, 0.5000)
Se (0.5000, 0.5000, 0.2376)



Record 11
The following is a GGA-PBEsol calculation of LaAlSe2 after structural relaxation, from Alexandria.

Output
For the calculated density, the calculation gives 5648 kg/m3. Its energy above the most stable polymorph in this dataset is 0 meV per atom. The calculation puts the formation energy (no corrections) at -1.39 eV per atom. As for the density of states at the Fermi level: 0.0 states/eV per cell. The magnetization is 0.00 μB/f.u.

Unit cell a=4.1561 b=4.1546 c=5.8586 alpha=90.00 beta=109.76 gamma=90.00
Space group Pm (No. 6)
Symmetry-distinct sites (fractional):
La (0.0000, 0.0000, 0.0000)
Al (0.6583, 0.5000, 0.5757)
Se (0.2795, 0.0000, 0.5753)
Se (0.5653, 0.5000, 0.1398)



Record 12
The following is a GGA-PBEsol calculation of LaAlSe after structural relaxation, from Alexandria.

Output
For the calculated density, the calculation gives 4981 kg/m3. Its energy above the most stable polymorph in this dataset is 10 meV per atom. The calculation puts the formation energy (no corrections) at -0.64 eV per atom. As for the density of states at the Fermi level: 4.2 states/eV per cell. The magnetization is 0.00 μB/f.u.

Unit cell a=6.8857 b=6.8857 c=6.8857 alpha=90.00 beta=90.00 gamma=90.00
Space group F-43m (No. 216)
Symmetry-distinct sites (fractional):
La (0.0000, 0.0000, 0.0000)
Al (0.0000, 0.0000, 0.5000)
Se (0.2500, 0.2500, 0.2500)



Q: Number 4 is which compound?
A: La4ScAl